Record 1
{"formula": "V2SnP3O12", "functional": "PBE with a Hubbard U", "state": "relaxed", "e_tot_ev_per_fu": -132.00, "vol_a3_per_cell": 483.6, "dos_ef_per_ev_atom": 0.299, "lattice": [[9.010, 0.015, 0.011], [4.871, 7.580, 0.011], [4.871, 2.665, 7.096]], "species": ["P", "P", "P", "P", "P", "P", "O", "O", "O", "O", "O", "O", "O", "O", "O", "O", "O", "O", "O", "O", "O", "O", "O", "O", "O", "O", "O", "O", "O", "O", "Sn", "Sn", "V", "V", "V", "V"], "frac_coords": [[0.963, 0.250, 0.537], [0.037, 0.750, 0.463], [0.250, 0.537, 0.963], [0.463, 0.037, 0.750], [0.750, 0.463, 0.037], [0.537, 0.963, 0.250], [0.563, 0.780, 0.424], [0.630, 0.011, 0.779], [0.437, 0.220, 0.576], [0.779, 0.630, 0.011], [0.870, 0.721, 0.489], [0.424, 0.563, 0.780], [0.937, 0.076, 0.720], [0.721, 0.489, 0.870], [0.220, 0.576, 0.437], [0.221, 0.370, 0.989], [0.130, 0.279, 0.511], [0.720, 0.937, 0.076], [0.576, 0.437, 0.220], [0.063, 0.924, 0.280], [0.989, 0.221, 0.370], [0.924, 0.280, 0.063], [0.076, 0.720, 0.937], [0.780, 0.424, 0.563], [0.489, 0.870, 0.721], [0.280, 0.063, 0.924], [0.370, 0.989, 0.221], [0.011, 0.779, 0.630], [0.511, 0.130, 0.279], [0.279, 0.511, 0.130], [0.000, 0.000, 0.000], [0.500, 0.500, 0.500], [0.648, 0.648, 0.648], [0.148, 0.148, 0.148], [0.852, 0.852, 0.852], [0.352, 0.352, 0.352]]}


Record 2
{"formula": "VSnPO2", "functional": "PBE with a Hubbard U", "state": "relaxed", "e_tot_ev_per_fu": -27.84, "e_above_lowest_polymorph_mev_per_atom": 652, "vol_a3_per_cell": 85.4, "dos_ef_per_ev_atom": 0.791, "lattice": [[3.940, 0.000, 0.000], [0.000, 3.940, 0.000], [0.000, 0.000, 5.503]], "species": ["Sn", "O", "O", "V", "P"], "frac_coords": [[0.000, 0.000, 0.000], [0.500, 0.000, 0.000], [0.000, 0.500, 0.000], [0.500, 0.500, 0.500], [0.000, 0.000, 0.500]]}


Record 3
{"formula": "VSnP2O", "functional": "PBE with a Hubbard U", "state": "relaxed", "e_tot_ev_per_fu": -28.03, "e_above_lowest_polymorph_mev_per_atom": 0, "vol_a3_per_cell": 85.1, "dos_ef_per_ev_atom": 0.455, "lattice": [[-3.120, -1.742, 3.239], [-1.721, -3.062, -3.305], [2.466, -2.499, 1.031]], "species": ["V", "O", "Sn", "P", "P"], "frac_coords": [[0.000, 0.000, 0.000], [0.000, 0.000, 0.500], [0.500, 0.500, 0.500], [0.500, 0.000, 0.000], [0.000, 0.500, 0.000]]}


Record 4
{"formula": "VSnPO5", "functional": "PBE with a Hubbard U", "state": "relaxed", "e_tot_ev_per_fu": -57.72, "vol_a3_per_cell": 211.5, "lattice": [[5.350, -0.006, -0.002], [-0.629, 6.605, 0.010], [-2.061, -2.934, 5.981]], "species": ["O", "O", "O", "O", "O", "O", "O", "O", "O", "O", "V", "V", "P", "P", "Sn", "Sn"], "frac_coords": [[0.224, 0.500, 0.464], [0.570, 0.763, 0.898], [0.097, 0.936, 0.731], [0.903, 0.064, 0.269], [0.238, 0.332, 0.773], [0.762, 0.668, 0.227], [0.776, 0.500, 0.536], [0.430, 0.237, 0.102], [0.061, 0.742, 0.031], [0.939, 0.258, 0.969], [0.159, 0.635, 0.760], [0.841, 0.365, 0.240], [0.178, 0.193, 0.897], [0.822, 0.807, 0.103], [0.602, 0.781, 0.537], [0.398, 0.219, 0.463]]}


Record 5
{"formula": "VSnP2O", "functional": "PBE with a Hubbard U", "state": "relaxed", "e_tot_ev_per_fu": -22.72, "e_above_lowest_polymorph_mev_per_atom": 1061, "vol_a3_per_cell": 102.8, "dos_ef_per_ev_atom": 0.775, "lattice": [[-2.989, 3.853, -1.481], [-3.358, -1.206, 3.639], [1.865, 2.417, 2.521]], "species": ["Sn", "P", "P", "O", "V"], "frac_coords": [[0.000, 0.000, 0.000], [0.000, 0.500, 0.000], [0.500, 0.000, 0.000], [0.000, 0.000, 0.500], [0.500, 0.500, 0.500]]}


Record 6
{"formula": "VSnPO2", "functional": "PBE with a Hubbard U", "state": "relaxed", "e_tot_ev_per_fu": -31.10, "e_above_lowest_polymorph_mev_per_atom": 0, "vol_a3_per_cell": 74.7, "dos_ef_per_ev_atom": 0.133, "lattice": [[3.804, 0.000, 0.000], [0.000, 3.804, 0.000], [0.000, 0.000, 5.163]], "species": ["P", "V", "Sn", "O", "O"], "frac_coords": [[0.000, 0.000, 0.500], [0.000, 0.000, 0.000], [0.500, 0.500, 0.500], [0.000, 0.500, 0.000], [0.500, 0.000, 0.000]]}


Record 7
{"formula": "SnP2WO8", "functional": "PBE with a Hubbard U", "state": "relaxed", "e_tot_ev_per_fu": -86.05, "vol_a3_per_cell": 168.6, "dos_ef_per_ev_atom": 0.000, "lattice": [[-4.166, 0.511, 2.596], [-3.588, -3.107, -1.352], [2.368, -5.129, 5.046]], "species": ["O", "O", "O", "O", "O", "O", "O", "O", "P", "P", "Sn", "W"], "frac_coords": [[0.228, 0.704, 0.798], [0.237, 0.237, 0.937], [0.715, 0.715, 0.405], [0.763, 0.763, 0.063], [0.285, 0.285, 0.595], [0.772, 0.296, 0.202], [0.704, 0.228, 0.798], [0.296, 0.772, 0.202], [0.358, 0.358, 0.777], [0.642, 0.642, 0.223], [0.000, 0.000, 0.500], [0.000, 0.000, 0.000]]}


Record 8
{"formula": "SnP2WO", "functional": "PBE with a Hubbard U", "state": "relaxed", "e_tot_ev_per_fu": -27.83, "e_above_lowest_polymorph_mev_per_atom": 0, "vol_a3_per_cell": 93.4, "dos_ef_per_ev_atom": 0.387, "lattice": [[4.933, 0.000, 0.000], [0.000, 4.933, 0.000], [0.000, 0.000, 3.838]], "species": ["P", "P", "O", "W", "Sn"], "frac_coords": [[0.500, 0.000, 0.000], [0.000, 0.500, 0.000], [0.000, 0.000, 0.500], [0.000, 0.000, 0.000], [0.500, 0.500, 0.500]]}


Record 9
{"formula": "SnP2WO", "functional": "PBE with a Hubbard U", "state": "relaxed", "e_tot_ev_per_fu": -23.28, "e_above_lowest_polymorph_mev_per_atom": 911, "vol_a3_per_cell": 99.6, "dos_ef_per_ev_atom": 0.654, "lattice": [[5.046, 0.000, 0.000], [0.000, 5.046, 0.000], [0.000, 0.000, 3.911]], "species": ["W", "P", "P", "Sn", "O"], "frac_coords": [[0.500, 0.500, 0.500], [0.000, 0.500, 0.000], [0.500, 0.000, 0.000], [0.000, 0.000, 0.000], [0.000, 0.000, 0.500]]}


Record 10
{"formula": "SnPW2O", "functional": "PBE with a Hubbard U", "state": "relaxed", "e_tot_ev_per_fu": -25.20, "vol_a3_per_cell": 94.3, "dos_ef_per_ev_atom": 0.622, "lattice": [[4.215, 0.000, 0.000], [0.000, 5.308, 0.000], [0.000, 0.000, 4.215]], "species": ["O", "W", "W", "Sn", "P"], "frac_coords": [[0.000, 0.000, 0.000], [0.000, 0.000, 0.500], [0.500, 0.000, 0.000], [0.000, 0.500, 0.000], [0.500, 0.500, 0.500]]}


Record 11
{"formula": "Sn3P6WO24", "functional": "PBE with a Hubbard U", "state": "relaxed", "e_tot_ev_per_fu": -239.86, "vol_a3_per_cell": 487.0, "dos_ef_per_ev_atom": 0.000, "lattice": [[-3.256, 8.432, 0.656], [-5.377, 2.735, 6.762], [2.643, 5.862, 6.386]], "species": ["O", "O", "O", "O", "O", "O", "O", "O", "O", "O", "O", "O", "O", "O", "O", "O", "O", "O", "O", "O", "O", "O", "O", "O", "P", "P", "P", "P", "P", "P", "W", "Sn", "Sn", "Sn"], "frac_coords": [[0.382, 0.204, 0.992], [0.526, 0.228, 0.153], [0.477, 0.768, 0.850], [0.153, 0.526, 0.228], [0.183, 0.490, 0.548], [0.727, 0.088, 0.904], [0.850, 0.477, 0.768], [0.768, 0.850, 0.477], [0.904, 0.727, 0.088], [0.490, 0.548, 0.183], [0.801, 0.993, 0.626], [0.114, 0.271, 0.888], [0.537, 0.438, 0.810], [0.888, 0.114, 0.271], [0.626, 0.801, 0.993], [0.438, 0.810, 0.537], [0.548, 0.183, 0.490], [0.271, 0.888, 0.114], [0.204, 0.992, 0.382], [0.810, 0.537, 0.438], [0.993, 0.626, 0.801], [0.228, 0.153, 0.526], [0.992, 0.382, 0.204], [0.088, 0.904, 0.727], [0.749, 0.037, 0.461], [0.535, 0.248, 0.969], [0.461, 0.749, 0.037], [0.248, 0.969, 0.535], [0.037, 0.461, 0.749], [0.969, 0.535, 0.248], [0.857, 0.857, 0.857], [0.143, 0.143, 0.143], [0.647, 0.647, 0.647], [0.355, 0.355, 0.355]]}